# 1
Density functional theory data (PBE) for Pm2Pr3PuSe6 after structural relaxation.

Output
**ΔE_f (raw)**: -1.801 eV per atom
**Spin magnetization**: 5.79 μB/cell

The structure in POSCAR format:
```
Pm2Pr3PuSe6
1.0
-6.7138 -2.0769 1.9712
5.1556 0.9747 5.0737
-1.3515 7.0043 -1.7189
Pm Pr Pu Se
2 3 1 6
direct
0.3327 0.6673 0.0000
0.6673 0.3327 0.0000
0.1695 0.8305 0.5000
0.8305 0.1695 0.5000
0.5000 0.5000 0.5000
0.0000 0.0000 0.0000
0.9192 0.5896 0.7578
0.7513 0.7513 0.2436
0.0808 0.4104 0.2422
0.5896 0.9192 0.7578
0.2487 0.2487 0.7564
0.4104 0.0808 0.2422
```

# 2
Density functional theory data (PBE) for Pm3Pr4PuSe8 after structural relaxation.

Output
**ΔE_f (raw)**: -1.809 eV per atom
**Spin magnetization**: 5.77 μB/cell

The structure in POSCAR format:
```
Pm3Pr4PuSe8
1.0
-7.5555 3.5304 1.3014
-3.7654 -6.9335 -3.0519
5.5041 -0.6562 6.3637
Pm Pr Pu Se
3 4 1 8
direct
0.5000 0.5000 0.0000
0.5000 0.5000 0.5000
0.0000 0.5000 0.5000
0.5000 0.0000 0.0000
0.5000 0.0000 0.5000
0.0000 0.0000 0.0000
0.0000 0.0000 0.5000
0.0000 0.5000 0.0000
0.2462 0.7423 0.9961
0.2463 0.7425 0.4925
0.2520 0.2560 0.5039
0.7500 0.7423 0.9961
0.2500 0.2577 0.0039
0.7480 0.7440 0.4961
0.7537 0.2575 0.5075
0.7538 0.2577 0.0039
```

# 3
Density functional theory data (PBE) for Pm2PrPu3Se6 after structural relaxation.

Output
**ΔE_f (raw)**: -1.703 eV per atom
**Spin magnetization**: 17.29 μB/cell

The structure in POSCAR format:
```
Pm2PrPu3Se6
1.0
-4.1515 -0.3588 0.1788
0.6591 -8.2593 -1.2712
2.3964 0.9958 8.9957
Pm Pr Pu Se
2 1 3 6
direct
0.8332 0.6668 0.6665
0.1668 0.3332 0.3335
0.5000 0.0000 0.0000
0.5000 0.5000 0.0000
0.8340 0.1669 0.6680
0.1660 0.8331 0.3320
0.3306 0.9186 0.6612
0.6655 0.5860 0.3311
0.6694 0.0814 0.3388
0.9992 0.2569 0.9984
0.0008 0.7431 0.0016
0.3345 0.4140 0.6689
```